a | DFT (GGA-PBE) results for a relaxed structure of PmEr2Tm.

- Space-group type: P4/mmm, No. 123
- D(E_F): 5.5 states/eV/f.u.

a b c (Å): 3.536 3.536 10.020
angles (deg): 90.00 90.00 90.00
Atoms (fractional coordinates):
Pm 0.000 0.000 0.000
Er 0.500 0.500 0.255
Er 0.500 0.500 0.745
Tm 0.000 0.000 0.500

=====

b | DFT (GGA-PBE) results for a relaxed structure of PmEr2Tm.

- Space-group type: R3m, No. 160
- D(E_F): 5.6 states/eV/f.u.

a b c (Å): 11.615 11.615 11.615
angles (deg): 17.63 17.63 17.63
Atoms (fractional coordinates):
Pm 0.000 0.000 0.000
Er 0.581 0.581 0.581
Er 0.751 0.751 0.751
Tm 0.166 0.166 0.166

=====

Most stable structure: b

=====

a | DFT (GGA-PBE) results for a relaxed structure of PmEr2Tm.

- Space-group type: Fm-3m, No. 225
- D(E_F): 8.1 states/eV/f.u.

a b c (Å): 5.641 5.641 5.641
angles (deg): 60.00 60.00 60.00
Atoms (fractional coordinates):
Pm 0.000 0.000 0.000
Er 0.250 0.250 0.250
Er 0.750 0.750 0.750
Tm 0.500 0.500 0.500

=====

b | DFT (GGA-PBE) results for a relaxed structure of PmEr2Tm.

- Space-group type: R-3m, No. 166
- D(E_F): 5.8 states/eV/f.u.

a b c (Å): 11.692 11.692 11.692
angles (deg): 17.42 17.42 17.42
Atoms (fractional coordinates):
Pm 0.000 0.000 0.000
Er 0.248 0.248 0.248
Er 0.752 0.752 0.752
Tm 0.500 0.500 0.500

=====

c | DFT (GGA-PBE) results for a relaxed structure of PmEr2Tm.

- Space-group type: Imm2, No. 44
- D(E_F): 6.6 states/eV/f.u.

a b c (Å): 6.684 6.684 6.684
angles (deg): 148.58 65.26 124.41
Atoms (fractional coordinates):
Pm 0.000 0.000 0.000
Er 0.415 0.663 0.752
Er 0.911 0.663 0.248
Tm 0.496 0.996 0.500

=====

Most stable structure: c

=====

a | DFT (GGA-PBE) results for a relaxed structure of PmEr2Tm.

- Space-group type: P2/c, No. 13
- D(E_F): 7.1 states/eV/f.u.

a b c (Å): 6.904 6.879 10.994
angles (deg): 90.00 90.03 90.00
Atoms (fractional coordinates):
Pm 0.125 0.127 0.388
Pm 0.125 0.873 0.888
Pm 0.875 0.127 0.112
Pm 0.875 0.873 0.612
Er 0.126 0.375 0.887
Er 0.126 0.625 0.387
Er 0.376 0.126 0.113
Er 0.376 0.874 0.613
Er 0.624 0.126 0.387
Er 0.624 0.874 0.887
Er 0.874 0.375 0.613
Er 0.874 0.625 0.113
Tm 0.376 0.377 0.613
Tm 0.376 0.623 0.113
Tm 0.624 0.377 0.887
Tm 0.624 0.623 0.387

=====

b | DFT (GGA-PBE) results for a relaxed structure of PmEr2Tm.

- Space-group type: P4/mmm, No. 123
- D(E_F): 5.7 states/eV/f.u.

a b c (Å): 4.998 4.998 5.007
angles (deg): 90.00 90.00 90.00
Atoms (fractional coordinates):
Pm 0.000 0.000 0.000
Er 0.000 0.500 0.500
Er 0.500 0.000 0.500
Tm 0.500 0.500 0.000

=====

Most stable structure: b

=====

a | DFT (GGA-PBE) results for a relaxed structure of Pm12Er2Tm5.

- Space-group type: C2/m, No. 12
- D(E_F): 26.8 states/eV/f.u.

a b c (Å): 10.647 10.647 6.183
angles (deg): 100.38 100.38 66.35
Atoms (fractional coordinates):
Pm 0.045 0.561 0.802
Pm 0.057 0.057 0.274
Pm 0.149 0.643 0.383
Pm 0.357 0.851 0.617
Pm 0.381 0.381 0.996
Pm 0.439 0.955 0.198
Pm 0.561 0.045 0.802
Pm 0.619 0.619 0.004
Pm 0.643 0.149 0.383
Pm 0.851 0.357 0.617
Pm 0.943 0.943 0.726
Pm 0.955 0.439 0.198
Er 0.268 0.732 0.000
Er 0.732 0.268 0.000
Tm 0.178 0.178 0.860
Tm 0.284 0.284 0.444
Tm 0.500 0.500 0.500
Tm 0.716 0.716 0.556
Tm 0.822 0.822 0.140

=====

b | DFT (GGA-PBE) results for a relaxed structure of Pm12Er2Tm5.

- Space-group type: C2/m, No. 12
- D(E_F): 26.3 states/eV/f.u.

a b c (Å): 11.641 11.641 8.694
angles (deg): 109.11 109.11 35.32
Atoms (fractional coordinates):
Pm 0.046 0.552 0.706
Pm 0.048 0.048 0.194
Pm 0.138 0.650 0.115
Pm 0.350 0.862 0.885
Pm 0.356 0.356 0.437
Pm 0.448 0.954 0.294
Pm 0.552 0.046 0.706
Pm 0.644 0.644 0.563
Pm 0.650 0.138 0.115
Pm 0.862 0.350 0.885
Pm 0.952 0.952 0.806
Pm 0.954 0.448 0.294
Er 0.243 0.757 0.500
Er 0.757 0.243 0.500
Tm 0.150 0.150 0.596
Tm 0.251 0.251 0.007
Tm 0.500 0.500 0.000
Tm 0.749 0.749 0.993
Tm 0.850 0.850 0.404

=====

Most stable structure: a

=====

a | DFT (GGA-PBE) results for a relaxed structure of Pm5ErTm2.

- Space-group type: P1, No. 1
- D(E_F): 12.0 states/eV/f.u.

a b c (Å): 6.826 8.680 9.319
angles (deg): 98.40 94.92 102.55
Atoms (fractional coordinates):
Pm 0.000 0.000 0.000
Pm 0.034 0.848 0.594
Pm 0.079 0.743 0.220
Pm 0.215 0.504 0.497
Pm 0.306 0.242 0.759
Pm 0.506 0.993 0.065
Pm 0.557 0.890 0.691
Pm 0.709 0.482 0.591
Pm 0.778 0.380 0.230
Pm 0.829 0.277 0.856
Er 0.162 0.639 0.861
Er 0.589 0.742 0.325
Tm 0.276 0.393 0.123
Tm 0.369 0.123 0.393
Tm 0.654 0.621 0.953
Tm 0.877 0.127 0.452

=====

b | DFT (GGA-PBE) results for a relaxed structure of Pm5ErTm2.

- Space-group type: I4/mcm, No. 140
- D(E_F): 9.7 states/eV/f.u.

a b c (Å): 9.036 9.036 9.036
angles (deg): 119.07 119.07 91.62
Atoms (fractional coordinates):
Pm 0.000 0.000 0.000
Pm 0.013 0.513 0.199
Pm 0.186 0.987 0.500
Pm 0.314 0.814 0.801
Pm 0.487 0.686 0.500
Pm 0.500 0.500 0.000
Pm 0.513 0.314 0.500
Pm 0.686 0.186 0.199
Pm 0.814 0.013 0.500
Pm 0.987 0.487 0.801
Er 0.250 0.250 0.000
Er 0.750 0.750 0.000
Tm 0.145 0.355 0.500
Tm 0.355 0.855 0.210
Tm 0.645 0.145 0.790
Tm 0.855 0.645 0.500

=====

Most stable structure: a

=====

a | DFT (GGA-PBE) results for a relaxed structure of Pm5Er2Tm12.

- Space-group type: P-1, No. 2
- D(E_F): 26.0 states/eV/f.u.

a b c (Å): 7.893 8.641 9.347
angles (deg): 90.03 94.81 111.33
Atoms (fractional coordinates):
Pm 0.000 0.000 0.000
Pm 0.159 0.052 0.368
Pm 0.262 0.421 0.947
Pm 0.738 0.579 0.053
Pm 0.841 0.948 0.632
Er 0.421 0.474 0.318
Er 0.579 0.526 0.682
Tm 0.054 0.684 0.787
Tm 0.105 0.370 0.579
Tm 0.213 0.737 0.159
Tm 0.320 0.106 0.735
Tm 0.367 0.788 0.527
Tm 0.476 0.158 0.106
Tm 0.524 0.842 0.894
Tm 0.633 0.212 0.473
Tm 0.680 0.894 0.265
Tm 0.787 0.263 0.841
Tm 0.895 0.630 0.421
Tm 0.946 0.316 0.213

=====

b | DFT (GGA-PBE) results for a relaxed structure of Pm5Er2Tm12.

- Space-group type: C2/m, No. 12
- D(E_F): 25.4 states/eV/f.u.

a b c (Å): 9.713 9.713 10.305
angles (deg): 109.59 109.59 42.05
Atoms (fractional coordinates):
Pm 0.000 0.000 0.000
Pm 0.188 0.188 0.682
Pm 0.318 0.318 0.291
Pm 0.682 0.682 0.709
Pm 0.812 0.812 0.318
Er 0.271 0.729 0.500
Er 0.729 0.271 0.500
Tm 0.025 0.025 0.747
Tm 0.089 0.595 0.631
Tm 0.090 0.585 0.978
Tm 0.405 0.911 0.369
Tm 0.415 0.910 0.022
Tm 0.498 0.498 0.825
Tm 0.502 0.502 0.175
Tm 0.585 0.090 0.978
Tm 0.595 0.089 0.631
Tm 0.910 0.415 0.022
Tm 0.911 0.405 0.369
Tm 0.975 0.975 0.253

=====

Most stable structure: a

=====

a | DFT (GGA-PBE) results for a relaxed structure of Pm7Er4Tm.

- Space-group type: C2/m, No. 12
- D(E_F): 18.9 states/eV/f.u.

a b c (Å): 8.569 8.569 9.349
angles (deg): 114.49 114.49 40.67
Atoms (fractional coordinates):
Pm 0.000 0.000 0.000
Pm 0.290 0.290 0.118
Pm 0.290 0.290 0.766
Pm 0.416 0.416 0.555
Pm 0.584 0.584 0.445
Pm 0.710 0.710 0.234
Pm 0.710 0.710 0.882
Er 0.071 0.071 0.698
Er 0.172 0.172 0.386
Er 0.828 0.828 0.614
Er 0.929 0.929 0.302
Tm 0.500 0.500 0.000

=====

b | DFT (GGA-PBE) results for a relaxed structure of Pm7Er4Tm.

- Space-group type: P-1, No. 2
- D(E_F): 16.1 states/eV/f.u.

a b c (Å): 6.276 7.237 8.920
angles (deg): 90.01 103.65 90.06
Atoms (fractional coordinates):
Pm 0.000 0.000 0.000
Pm 0.221 0.500 0.666
Pm 0.281 0.750 0.335
Pm 0.499 0.247 0.002
Pm 0.501 0.753 0.998
Pm 0.719 0.250 0.665
Pm 0.779 0.500 0.334
Er 0.220 0.000 0.665
Er 0.277 0.248 0.333
Er 0.723 0.752 0.667
Er 0.780 0.000 0.335
Tm 0.000 0.500 0.000

=====

Most stable structure: b

=====

a | DFT (GGA-PBE) results for a relaxed structure of PmEr6Tm12.

- Space-group type: R-3, No. 148
- D(E_F): 30.4 states/eV/f.u.

a b c (Å): 8.418 8.418 8.418
angles (deg): 88.17 88.17 88.17
Atoms (fractional coordinates):
Pm 0.000 0.000 0.000
Er 0.090 0.684 0.255
Er 0.255 0.090 0.684
Er 0.316 0.745 0.910
Er 0.684 0.255 0.090
Er 0.745 0.910 0.316
Er 0.910 0.316 0.745
Tm 0.007 0.215 0.354
Tm 0.215 0.354 0.007
Tm 0.228 0.454 0.564
Tm 0.354 0.007 0.215
Tm 0.436 0.772 0.546
Tm 0.454 0.564 0.228
Tm 0.546 0.436 0.772
Tm 0.564 0.228 0.454
Tm 0.646 0.993 0.785
Tm 0.772 0.546 0.436
Tm 0.785 0.646 0.993
Tm 0.993 0.785 0.646

=====

b | DFT (GGA-PBE) results for a relaxed structure of PmEr6Tm12.

- Space-group type: R-3m, No. 166
- D(E_F): 29.9 states/eV/f.u.

a b c (Å): 9.148 9.148 9.148
angles (deg): 107.01 107.01 107.01
Atoms (fractional coordinates):
Pm 0.000 0.000 0.000
Er 0.284 0.688 0.688
Er 0.312 0.312 0.716
Er 0.312 0.716 0.312
Er 0.688 0.284 0.688
Er 0.688 0.688 0.284
Er 0.716 0.312 0.312
Tm 0.112 0.500 0.888
Tm 0.112 0.888 0.500
Tm 0.118 0.348 0.348
Tm 0.348 0.118 0.348
Tm 0.348 0.348 0.118
Tm 0.500 0.112 0.888
Tm 0.500 0.888 0.112
Tm 0.652 0.652 0.882
Tm 0.652 0.882 0.652
Tm 0.882 0.652 0.652
Tm 0.888 0.112 0.500
Tm 0.888 0.500 0.112

=====

Most stable structure: a

=====

a | DFT (GGA-PBE) results for a relaxed structure of Pm2Er8Tm.

- Space-group type: C2/m, No. 12
- D(E_F): 14.6 states/eV/f.u.

a b c (Å): 9.345 9.345 7.898
angles (deg): 104.69 104.69 30.95
Atoms (fractional coordinates):
Pm 0.227 0.227 0.137
Pm 0.773 0.773 0.863
Er 0.045 0.045 0.228
Er 0.135 0.135 0.678
Er 0.319 0.319 0.592
Er 0.410 0.410 0.047
Er 0.590 0.590 0.953
Er 0.681 0.681 0.408
Er 0.865 0.865 0.322
Er 0.955 0.955 0.772
Tm 0.500 0.500 0.500

=====

b | DFT (GGA-PBE) results for a relaxed structure of Pm2Er8Tm.

- Space-group type: C2/m, No. 12
- D(E_F): 14.6 states/eV/f.u.

a b c (Å): 9.144 9.144 5.839
angles (deg): 105.54 105.54 121.16
Atoms (fractional coordinates):
Pm 0.193 0.807 0.000
Pm 0.807 0.193 0.000
Er 0.071 0.071 0.297
Er 0.170 0.402 0.826
Er 0.293 0.707 0.500
Er 0.402 0.170 0.826
Er 0.598 0.830 0.174
Er 0.707 0.293 0.500
Er 0.830 0.598 0.174
Er 0.929 0.929 0.703
Tm 0.500 0.500 0.500

=====

Most stable structure: a